## Ce3Nd4YTe8 (GGA-PBE)

Data for a relaxed Ce3Nd4YTe8 crystal.

a = 8.9438 Å, b = 8.9438 Å, c = 22.0189 Å
α = 90.00°, β = 90.00°, γ = 120.00°
With the nearest neighbours (Å) after each atom.
Space group R-3m (No. 166, hexagonal axes)
Asymmetric unit:
Ce 0.0000 0.5000 0.0000 (multiplicity 9)  6 Te 3.16
Nd 0.0000 0.0000 0.5000 (multiplicity 3)  6 Te 3.22
Nd 0.0000 0.5000 0.5000 (multiplicity 9)  6 Te 3.17
Y 0.0000 0.0000 0.0000 (multiplicity 3)  6 Te 3.12
Te 0.0000 0.0000 0.2503 (multiplicity 6)  3 Ce 3.16, 3 Nd 3.17
Te 0.0045 0.5023 0.7485 (multiplicity 18)  1 Y 3.12, 2 Ce 3.16, 3 Nd 3.17-3.22

Values from the calculation:
E_form (uncorrected) = -1.3927 eV/atom
DOS(E_F) = 79.30 states/eV/cell
Calculated volume = 1525 Å³ per cell

---

## Pm2Os2C3 (GGA-PBE)

Data for a relaxed Pm2Os2C3 crystal.

a = 11.7975 Å, b = 3.4736 Å, c = 5.7432 Å
α = 90.00°, β = 115.51°, γ = 90.00°
With the nearest neighbours (Å) after each atom.
Space group C2/m (No. 12)
Asymmetric unit:
Pm 0.1080 0.0000 0.3123 (multiplicity 4)  5 C 2.45-2.65
Os 0.1577 0.5000 0.8186 (multiplicity 4)  4 C 1.97-2.11
C 0.0000 0.5000 0.5000 (multiplicity 2)  2 Os 1.97
C 0.2451 0.0000 0.7759 (multiplicity 4)  3 Os 2.09-2.11

Values from the calculation:
DOS(E_F) = 5.11 states/eV/cell
Formation energy = -0.14 eV/atom
Energy above the most stable polymorph in this dataset = 0.0000 eV/atom
Calculated volume = 212 Å³ per cell

---

## BaCa2Au9 (GGA-PBE)

Data for a relaxed BaCa2Au9 crystal.

a = 5.7546 Å, b = 5.7546 Å, c = 28.0859 Å
α = 90.00°, β = 90.00°, γ = 120.00°
With the nearest neighbours (Å) after each atom.
Space group R-3m (No. 166, hexagonal axes)
Asymmetric unit:
Ba 0.0000 0.0000 0.0000 (multiplicity 3)  6 Au 3.32
Ca 0.0000 0.0000 0.1447 (multiplicity 6)  12 Au 3.31-3.38, 3 Ca 3.54
Au 0.0000 0.0000 0.3329 (multiplicity 6)  6 Au 2.92-2.96
Au 0.0000 0.0000 0.5000 (multiplicity 3)  6 Au 2.81
Au 0.0041 0.5021 0.9136 (multiplicity 18)  7 Au 2.81-2.96

Values from the calculation:
DOS(E_F) = 20.47 states/eV/cell
Formation energy = -0.54 eV/atom
Calculated volume = 805 Å³ per cell

---

## Li6Cd5Bi (GGA-PBE)

Data for a relaxed Li6Cd5Bi crystal.

a = 8.3770 Å, b = 14.1961 Å, c = 4.6657 Å
α = 90.00°, β = 123.55°, γ = 90.00°
With the nearest neighbours (Å) after each atom.
Space group C2/m (No. 12)
Asymmetric unit:
Li 0.2468 0.0000 0.2474 (multiplicity 4)  6 Cd 2.89-3.04, 2 Bi 2.92-2.93
Li 0.2484 0.1672 0.7480 (multiplicity 8)  7 Cd 2.84-2.97, 1 Bi 2.95
Cd 0.0000 0.0000 0.5000 (multiplicity 2)  8 Li 2.89-2.94
Cd 0.0000 0.1644 0.0000 (multiplicity 4)  8 Li 2.90-2.97
Cd 0.0000 0.3254 0.5000 (multiplicity 4)  8 Li 2.84-3.04
Bi 0.0000 0.5000 0.0000 (multiplicity 2)  8 Li 2.92-2.95

Values from the calculation:
DOS(E_F) = 6.47 states/eV/cell
Formation energy = -0.29 eV/atom
Calculated volume = 462 Å³ per cell